1.
A plane-wave DFT calculation with PBE was carried out for a relaxed Zn3Co2 crystal.

It has space group R-3m (No. 166, hexagonal axes), with a = 4.9765 Å, b = 4.9765 Å, c = 9.5216 Å, α = 90.00°, β = 90.00° and γ = 120.00°. The asymmetric unit holds Zn at (0.0000, 0.5000, 0.0000) and Co at (0.0000, 0.0000, 0.1172).

The calculation puts the calculated formation energy at 0.1333 eV/atom. The total energy comes out at -3.473 eV per atom. The distance to the lowest polymorph of the same formula comes out at 0.0895 eV/atom.

2.
A plane-wave DFT calculation with PBE was carried out for a relaxed LaTc2Ni2 crystal.

It has space group I4/mmm (No. 139), with a = 3.733 Å, b = 3.733 Å, c = 12.072 Å, α = 90.00°, β = 90.00° and γ = 90.00°. The asymmetric unit holds La at (0.000, 0.000, 0.000), Tc at (0.000, 0.500, 0.250) and Ni at (0.000, 0.000, 0.396).

The calculation puts the calculated formation energy at 0.0254 eV/atom. The total energy comes out at -7.419 eV per atom. The distance to the lowest polymorph of the same formula comes out at 0.0000 eV/atom.

3.
A plane-wave DFT calculation with PBE was carried out for a relaxed Rb2Tl2Br2O crystal.

It has space group C2/m (No. 12), with a = 13.163 Å, b = 4.687 Å, c = 9.091 Å, α = 90.00°, β = 119.54° and γ = 90.00°. The asymmetric unit holds Rb at (0.045, 0.000, 0.293), Tl at (0.190, 0.500, 0.074), Br at (0.171, 0.500, 0.631) and O at (0.000, 0.500, 0.000).

The total energy comes out at -3.254 eV per atom. The uncorrected formation energy comes out at -1.12 eV/atom.

4.
A plane-wave DFT calculation with PBE was carried out for a relaxed ZrP2Br crystal.

It has space group F-43m (No. 216), with a = 6.677 Å, b = 6.677 Å, c = 6.677 Å, α = 90.00°, β = 90.00° and γ = 90.00°. The asymmetric unit holds Zr at (0.000, 0.000, 0.000), P at (0.000, 0.000, 0.500), P at (0.250, 0.250, 0.750) and Br at (0.250, 0.250, 0.250).

The total energy comes out at -5.126 eV per atom. The uncorrected formation energy comes out at 0.13 eV/atom. The distance to the lowest polymorph of the same formula comes out at 0.8569 eV/atom.

5.
A plane-wave DFT calculation with PBE was carried out for a relaxed AcBN3 crystal.

It has space group P2_1/m (No. 11), with a = 4.767 Å, b = 4.642 Å, c = 6.523 Å, α = 90.00°, β = 95.77° and γ = 90.00°. The asymmetric unit holds Ac at (0.136, 0.250, 0.256), B at (0.320, 0.250, 0.721), N at (0.141, 0.250, 0.866), N at (0.322, 0.750, 0.551) and N at (0.439, 0.750, 0.380).

The total energy comes out at -7.743 eV per atom. The uncorrected formation energy comes out at -0.59 eV/atom.

6.
A plane-wave DFT calculation with PBE was carried out for a relaxed La3Nd4Dy4 crystal.

It has space group Amm2 (No. 38), with a = 10.911 Å, b = 5.815 Å, c = 12.209 Å, α = 90.00°, β = 90.00° and γ = 90.00°. The asymmetric unit holds La at (0.000, 0.000, 0.000), La at (0.288, 0.000, 0.160), Nd at (0.000, 0.000, 0.704), Nd at (0.215, 0.000, 0.496), Nd at (0.500, 0.000, 0.632), Dy at (0.000, 0.000, 0.305), Dy at (0.306, 0.000, 0.855) and Dy at (0.500, 0.000, 0.359).

The calculation puts the calculated formation energy at 0.1480 eV/atom. The total energy comes out at -4.603 eV per atom. The distance to the lowest polymorph of the same formula comes out at 0.0000 eV/atom.